# MnCuHPt2 (GGA-PBE, optimized geometry)
data_MnCuHPt2
_cell_length_a 3.964
_cell_length_b 3.964
_cell_length_c 3.880
_cell_angle_alpha 90.00
_cell_angle_beta 90.00
_cell_angle_gamma 90.00
_symmetry_space_group_name_H-M 'P 1'
_symmetry_Int_Tables_number 1
_symmetry_space_group_name_Hall 'P 1'
loop_
_atom_site_label
_atom_site_fract_x
_atom_site_fract_y
_atom_site_fract_z
H1 0.000 0.000 0.000
Mn1 0.000 0.000 0.500
Cu1 0.500 0.500 0.500
Pt1 0.000 0.500 0.000
Pt2 0.500 0.000 0.000
# DOS(E_F) = 1.25 states/eV/f.u.
# raw total energy = -5.897 eV per atom